(1)
# Ce2TlCl | the Alexandria database | PBE-GGA | relaxed
data_Ce2TlCl
_symmetry_space_group_name_H-M 'P 1'
_symmetry_Int_Tables_number 1
_cell_length_a 3.945
_cell_length_b 3.945
_cell_length_c 8.562
_cell_angle_alpha 76.68
_cell_angle_beta 76.68
_cell_angle_gamma 60.00
loop_
_symmetry_equiv_pos_as_xyz
'x,y,z'
loop_
_atom_site_label
_atom_site_type_symbol
_atom_site_fract_x
_atom_site_fract_y
_atom_site_fract_z
Ce1 Ce 0.067 0.067 0.798
Ce2 Ce 0.266 0.266 0.202
Tl1 Tl 0.500 0.500 0.501
Cl1 Cl 0.667 0.667 0.999
# D(E_F)	12.4	states/eV/f.u.
# energy relative to the lowest polymorph listed for this composition	39	meV/atom
# SG	No. 160
# raw formation energy	-706	meV/atom

=====

(2)
# CeTl4Cl7 | the Alexandria database | PBE-GGA | relaxed
data_CeTl4Cl7
_symmetry_space_group_name_H-M 'P 1'
_symmetry_Int_Tables_number 1
_cell_length_a 5.440
_cell_length_b 7.626
_cell_length_c 11.547
_cell_angle_alpha 111.94
_cell_angle_beta 103.62
_cell_angle_gamma 90.00
loop_
_symmetry_equiv_pos_as_xyz
'x,y,z'
loop_
_atom_site_label
_atom_site_type_symbol
_atom_site_fract_x
_atom_site_fract_y
_atom_site_fract_z
Ce1 Ce 0.000 0.000 0.000
Tl1 Tl 0.413 0.459 0.826
Tl2 Tl 0.587 0.541 0.174
Tl3 Tl 0.297 0.838 0.594
Tl4 Tl 0.703 0.162 0.406
Cl1 Cl 0.112 0.324 0.224
Cl2 Cl 0.888 0.676 0.776
Cl3 Cl 0.925 0.211 0.850
Cl4 Cl 0.075 0.789 0.150
Cl5 Cl 0.722 0.789 0.445
Cl6 Cl 0.500 0.000 0.000
Cl7 Cl 0.278 0.211 0.555
# D(E_F)	7.4	states/eV/f.u.
# SG	No. 12
# raw formation energy	-1390	meV/atom

=====

(3)
# CeTl6Cl8 | the Alexandria database | PBE-GGA | relaxed
data_CeTl6Cl8
_symmetry_space_group_name_H-M 'P 1'
_symmetry_Int_Tables_number 1
_cell_length_a 6.623
_cell_length_b 9.424
_cell_length_c 9.424
_cell_angle_alpha 120.00
_cell_angle_beta 90.00
_cell_angle_gamma 90.00
loop_
_symmetry_equiv_pos_as_xyz
'x,y,z'
loop_
_atom_site_label
_atom_site_type_symbol
_atom_site_fract_x
_atom_site_fract_y
_atom_site_fract_z
Ce1 Ce 0.500 0.000 0.000
Tl1 Tl 0.740 0.589 0.001
Tl2 Tl 0.740 0.999 0.589
Tl3 Tl 0.740 0.411 0.411
Tl4 Tl 0.260 0.411 0.999
Tl5 Tl 0.260 0.001 0.411
Tl6 Tl 0.260 0.589 0.589
Cl1 Cl 0.738 0.000 0.242
Cl2 Cl 0.738 0.758 0.758
Cl3 Cl 0.738 0.242 0.000
Cl4 Cl 0.262 0.000 0.758
Cl5 Cl 0.262 0.242 0.242
Cl6 Cl 0.262 0.758 0.000
Cl7 Cl 0.500 0.333 0.667
Cl8 Cl 0.500 0.667 0.333
# D(E_F)	8.3	states/eV/f.u.
# SG	No. 162
# raw formation energy	-1177	meV/atom

=====

(4)
# CeTl2Cl5 | the Alexandria database | PBE-GGA | relaxed
data_CeTl2Cl5
_symmetry_space_group_name_H-M 'P 1'
_symmetry_Int_Tables_number 1
_cell_length_a 8.278
_cell_length_b 8.915
_cell_length_c 13.196
_cell_angle_alpha 90.00
_cell_angle_beta 90.00
_cell_angle_gamma 90.00
loop_
_symmetry_equiv_pos_as_xyz
'x,y,z'
loop_
_atom_site_label
_atom_site_type_symbol
_atom_site_fract_x
_atom_site_fract_y
_atom_site_fract_z
Ce1 Ce 0.428 0.250 0.505
Ce2 Ce 0.572 0.750 0.495
Ce3 Ce 0.928 0.750 0.995
Ce4 Ce 0.072 0.250 0.005
Tl1 Tl 0.454 0.504 0.828
Tl2 Tl 0.546 0.496 0.172
Tl3 Tl 0.954 0.496 0.672
Tl4 Tl 0.546 0.004 0.172
Tl5 Tl 0.046 0.504 0.328
Tl6 Tl 0.454 0.996 0.828
Tl7 Tl 0.046 0.996 0.328
Tl8 Tl 0.954 0.004 0.672
Cl1 Cl 0.085 0.250 0.509
Cl2 Cl 0.915 0.750 0.491
Cl3 Cl 0.585 0.750 0.991
Cl4 Cl 0.415 0.250 0.009
Cl5 Cl 0.338 0.958 0.576
Cl6 Cl 0.662 0.042 0.424
Cl7 Cl 0.838 0.042 0.924
Cl8 Cl 0.662 0.458 0.424
Cl9 Cl 0.162 0.958 0.076
Cl10 Cl 0.338 0.542 0.576
Cl11 Cl 0.162 0.542 0.076
Cl12 Cl 0.838 0.458 0.924
Cl13 Cl 0.161 0.250 0.799
Cl14 Cl 0.839 0.750 0.201
Cl15 Cl 0.661 0.750 0.701
Cl16 Cl 0.339 0.250 0.299
Cl17 Cl 0.620 0.250 0.679
Cl18 Cl 0.380 0.750 0.321
Cl19 Cl 0.120 0.750 0.821
Cl20 Cl 0.880 0.250 0.179
# D(E_F)	7.5	states/eV/f.u.
# SG	No. 62
# raw formation energy	-1652	meV/atom

=====

> The highest raw formation energy belongs to which entry?

Ce2TlCl

=====

> What is the formula in the third record?

CeTl6Cl8

=====

Copy entry 4 word for word.
# CeTl2Cl5 | the Alexandria database | PBE-GGA | relaxed
data_CeTl2Cl5
_symmetry_space_group_name_H-M 'P 1'
_symmetry_Int_Tables_number 1
_cell_length_a 8.278
_cell_length_b 8.915
_cell_length_c 13.196
_cell_angle_alpha 90.00
_cell_angle_beta 90.00
_cell_angle_gamma 90.00
loop_
_symmetry_equiv_pos_as_xyz
'x,y,z'
loop_
_atom_site_label
_atom_site_type_symbol
_atom_site_fract_x
_atom_site_fract_y
_atom_site_fract_z
Ce1 Ce 0.428 0.250 0.505
Ce2 Ce 0.572 0.750 0.495
Ce3 Ce 0.928 0.750 0.995
Ce4 Ce 0.072 0.250 0.005
Tl1 Tl 0.454 0.504 0.828
Tl2 Tl 0.546 0.496 0.172
Tl3 Tl 0.954 0.496 0.672
Tl4 Tl 0.546 0.004 0.172
Tl5 Tl 0.046 0.504 0.328
Tl6 Tl 0.454 0.996 0.828
Tl7 Tl 0.046 0.996 0.328
Tl8 Tl 0.954 0.004 0.672
Cl1 Cl 0.085 0.250 0.509
Cl2 Cl 0.915 0.750 0.491
Cl3 Cl 0.585 0.750 0.991
Cl4 Cl 0.415 0.250 0.009
Cl5 Cl 0.338 0.958 0.576
Cl6 Cl 0.662 0.042 0.424
Cl7 Cl 0.838 0.042 0.924
Cl8 Cl 0.662 0.458 0.424
Cl9 Cl 0.162 0.958 0.076
Cl10 Cl 0.338 0.542 0.576
Cl11 Cl 0.162 0.542 0.076
Cl12 Cl 0.838 0.458 0.924
Cl13 Cl 0.161 0.250 0.799
Cl14 Cl 0.839 0.750 0.201
Cl15 Cl 0.661 0.750 0.701
Cl16 Cl 0.339 0.250 0.299
Cl17 Cl 0.620 0.250 0.679
Cl18 Cl 0.380 0.750 0.321
Cl19 Cl 0.120 0.750 0.821
Cl20 Cl 0.880 0.250 0.179
# D(E_F)	7.5	states/eV/f.u.
# SG	No. 62
# raw formation energy	-1652	meV/atom